VASP calculation (PBE-GGA) on an optimized crystal structure of AsHIrAu2.

Calculated values
SG: P4/mmm, No. 123
Total moment: 0.43 Bohr magnetons per cell
Calculated volume: 85.89 Å³ per cell
Electronic total energy: -4.034 eV per atom

a = 5.190 Å, b = 3.189 Å, c = 5.190 Å
α = 90.00°, β = 90.00°, γ = 90.00°
Element x y z (fractional)
Au: 0.000 0.000 0.500
H: 0.000 0.500 0.000
Au: 0.500 0.000 0.000
Ir: 0.000 0.000 0.000
As: 0.500 0.500 0.500